# 1
Density functional theory data (PBE-GGA) for an optimized crystal structure of DyIn2SnTe4.

The structure in POSCAR format:
```
DyIn2SnTe4
1.0
7.8741 0.0000 0.0000
0.0000 4.4352 0.0000
-2.6195 0.0000 7.5719
Dy In Sn Te
1 2 1 4
Direct
0.0000 0.0000 0.0000
0.0000 0.5000 0.5000
0.5000 0.0000 0.5000
0.5000 0.5000 0.0000
0.2352 0.5000 0.2310
0.2406 0.0000 0.7601
0.7594 0.0000 0.2399
0.7648 0.5000 0.7690
```

symmetry	No. 10
E	-3.935	eV/atom

# 2
Density functional theory data (PBE-GGA) for an optimized crystal structure of Ac2PuSi.

The structure in POSCAR format:
```
Ac2PuSi
1.0
5.1515 0.0000 0.0000
0.0000 5.1515 0.0000
0.0000 0.0000 4.6077
Ac Pu Si
2 1 1
Direct
0.0000 0.5000 0.0000
0.5000 0.0000 0.0000
0.0000 0.0000 0.5000
0.5000 0.5000 0.5000
```

symmetry	No. 123
E	-6.994	eV/atom